Record 1
Density functional theory data (PBE) for a relaxed Cs2TiPbO4 crystal.

a = 6.359 Å, b = 7.016 Å, c = 8.208 Å
α = 90.00°, β = 90.00°, γ = 90.00°
Element x y z (fractional)
Cs 0.500 0.278 0.241
Cs 0.500 0.278 0.759
Cs 0.000 0.722 0.741
Cs 0.000 0.722 0.259
Ti 0.500 0.851 0.500
Ti 0.000 0.149 0.000
Pb 0.000 0.216 0.500
Pb 0.500 0.784 0.000
O 0.241 0.996 0.000
O 0.741 0.004 0.500
O 0.259 0.004 0.500
O 0.759 0.996 0.000
O 0.500 0.708 0.685
O 0.000 0.292 0.185
O 0.000 0.292 0.815
O 0.500 0.708 0.315

Output
E_form (uncorrected), eV/atom: -2.05

Record 2
Density functional theory data (PBE) for a relaxed Mn3Fe8N8 crystal.

a = 8.036 Å, b = 3.688 Å, c = 8.846 Å
α = 90.00°, β = 53.11°, γ = 76.73°
Element x y z (fractional)
Mn 0.000 0.500 0.500
Mn 0.422 0.789 0.820
Mn 0.578 0.211 0.180
Fe 0.102 0.949 0.692
Fe 0.898 0.051 0.308
Fe 0.676 0.662 0.321
Fe 0.324 0.338 0.679
Fe 0.869 0.565 0.952
Fe 0.131 0.435 0.048
Fe 0.316 0.842 0.212
Fe 0.684 0.158 0.788
N 0.198 0.901 0.072
N 0.802 0.099 0.928
N 0.387 0.807 0.638
N 0.613 0.193 0.362
N 0.694 0.653 0.734
N 0.306 0.347 0.266
N 0.906 0.547 0.341
N 0.094 0.453 0.659

Output
E_form (uncorrected), eV/atom: 0.04

Record 3
Density functional theory data (PBE) for a relaxed SmTeS crystal.

a = 4.816 Å, b = 4.816 Å, c = 7.694 Å
α = 90.00°, β = 90.00°, γ = 90.00°
Element x y z (fractional)
Sm 0.250 0.250 0.178
Sm 0.750 0.750 0.822
Te 0.250 0.750 0.500
Te 0.750 0.250 0.500
S 0.750 0.250 0.000
S 0.250 0.750 0.000

Output
E_form (uncorrected), eV/atom: -1.48